Pr2Be2InPd5: optimized geometry, GGA-PBE.

Cell lengths 9.9670, 9.9670, 3.5383 Å; angles 90.00, 90.00, 90.00 degrees
Sites, in units of the cell vectors:
Pr: 0.1795 0.3205 0.0000
Pr: 0.3205 0.8205 0.0000
Pr: 0.6795 0.1795 0.0000
Pr: 0.8205 0.6795 0.0000
Be: 0.1149 0.6149 0.0000
Be: 0.3851 0.1149 0.0000
Be: 0.6149 0.8851 0.0000
Be: 0.8851 0.3851 0.0000
In: 0.0000 0.0000 0.0000
In: 0.5000 0.5000 0.0000
Pd: 0.0000 0.5000 0.5000
Pd: 0.0676 0.7761 0.5000
Pd: 0.2239 0.0676 0.5000
Pd: 0.2761 0.5676 0.5000
Pd: 0.4324 0.2761 0.5000
Pd: 0.5000 0.0000 0.5000
Pd: 0.5676 0.7239 0.5000
Pd: 0.7239 0.4324 0.5000
Pd: 0.7761 0.9324 0.5000
Pd: 0.9324 0.2239 0.5000

Properties
As for the formation energy: -643 kJ/mol of formula units.

=====

ScBeInPd: optimized geometry, GGA-PBE.

Cell lengths 6.4428, 6.4428, 6.4428 Å; angles 90.00, 90.00, 90.00 degrees
Sites, in units of the cell vectors:
Sc: 0.0000 0.0000 0.0000
Sc: 0.0000 0.5000 0.5000
Sc: 0.5000 0.0000 0.5000
Sc: 0.5000 0.5000 0.0000
Be: 0.2500 0.2500 0.2500
Be: 0.2500 0.7500 0.7500
Be: 0.7500 0.2500 0.7500
Be: 0.7500 0.7500 0.2500
In: 0.0000 0.0000 0.5000
In: 0.0000 0.5000 0.0000
In: 0.5000 0.0000 0.0000
In: 0.5000 0.5000 0.5000
Pd: 0.2500 0.2500 0.7500
Pd: 0.2500 0.7500 0.2500
Pd: 0.7500 0.2500 0.2500
Pd: 0.7500 0.7500 0.7500

Properties
As for the formation energy: -152 kJ/mol of formula units.

=====

ScBe2InPd: optimized geometry, GGA-PBE.

Cell lengths 4.3215, 4.3215, 4.9788 Å; angles 90.00, 90.00, 90.00 degrees
Sites, in units of the cell vectors:
Sc: 0.0000 0.0000 0.0000
Be: 0.0000 0.5000 0.5000
Be: 0.5000 0.0000 0.5000
In: 0.5000 0.5000 0.0000
Pd: 0.5000 0.5000 0.5000

Properties
As for the formation energy: 67 kJ/mol of formula units.

=====

BeInPdSe2: optimized geometry, GGA-PBE.

Cell lengths 5.1259, 5.1259, 4.2032 Å; angles 90.00, 90.00, 90.00 degrees
Sites, in units of the cell vectors:
Be: 0.0000 0.0000 0.0000
In: 0.5000 0.5000 0.0000
Pd: 0.0000 0.0000 0.5000
Se: 0.0000 0.5000 0.5000
Se: 0.5000 0.0000 0.5000

Properties
Its formation energy from raw total energies is 0.70 eV per formula unit.

=====

SmBe2InPd5: optimized geometry, GGA-PBE.

Cell lengths 4.2100, 4.2100, 8.2294 Å; angles 90.00, 90.00, 90.00 degrees
Sites, in units of the cell vectors:
Sm: 0.0000 0.0000 0.0000
Be: 0.5000 0.5000 0.3523
Be: 0.5000 0.5000 0.6477
In: 0.0000 0.0000 0.5000
Pd: 0.0000 0.5000 0.2604
Pd: 0.0000 0.5000 0.7396
Pd: 0.5000 0.0000 0.2604
Pd: 0.5000 0.0000 0.7396
Pd: 0.5000 0.5000 0.0000

Properties
As for the formation energy: -464 kJ/mol of formula units.

=====

Sr2BeInPd6: optimized geometry, GGA-PBE.

Cell lengths 6.1097, 6.1431, 7.3147 Å; angles 65.75, 65.49, 60.29 degrees
Sites, in units of the cell vectors:
Sr: 0.2307 0.2328 0.3064
Sr: 0.7693 0.7672 0.6936
Be: 0.0000 0.0000 0.0000
In: 0.5000 0.5000 0.5000
Pd: 0.2362 0.6871 0.8399
Pd: 0.2370 0.2332 0.8326
Pd: 0.3050 0.7667 0.1661
Pd: 0.6950 0.2333 0.8339
Pd: 0.7630 0.7668 0.1674
Pd: 0.7638 0.3129 0.1601

Properties
As for the formation energy: -512 kJ/mol of formula units.

=====

Tb2Be2InPd5: optimized geometry, GGA-PBE.

Cell lengths 9.7657, 9.7657, 3.4994 Å; angles 90.00, 90.00, 90.00 degrees
Sites, in units of the cell vectors:
Tb: 0.1776 0.3224 0.0000
Tb: 0.3224 0.8224 0.0000
Tb: 0.6776 0.1776 0.0000
Tb: 0.8224 0.6776 0.0000
Be: 0.1171 0.6171 0.0000
Be: 0.3829 0.1171 0.0000
Be: 0.6171 0.8829 0.0000
Be: 0.8829 0.3829 0.0000
In: 0.0000 0.0000 0.0000
In: 0.5000 0.5000 0.0000
Pd: 0.0000 0.5000 0.5000
Pd: 0.0691 0.7791 0.5000
Pd: 0.2209 0.0691 0.5000
Pd: 0.2791 0.5691 0.5000
Pd: 0.4309 0.2791 0.5000
Pd: 0.5000 0.0000 0.5000
Pd: 0.5691 0.7209 0.5000
Pd: 0.7209 0.4309 0.5000
Pd: 0.7791 0.9309 0.5000
Pd: 0.9309 0.2209 0.5000

Properties
As for the formation energy: -725 kJ/mol of formula units.

=====

TbBe2InPd5: optimized geometry, GGA-PBE.

Cell lengths 4.1640, 4.1640, 8.2866 Å; angles 90.00, 90.00, 90.00 degrees
Sites, in units of the cell vectors:
Tb: 0.0000 0.0000 0.0000
Be: 0.5000 0.5000 0.3544
Be: 0.5000 0.5000 0.6456
In: 0.0000 0.0000 0.5000
Pd: 0.0000 0.5000 0.2559
Pd: 0.0000 0.5000 0.7441
Pd: 0.5000 0.0000 0.2559
Pd: 0.5000 0.0000 0.7441
Pd: 0.5000 0.5000 0.0000

Properties
As for the formation energy: -486 kJ/mol of formula units.

=====

Tm2Be2InPd5: optimized geometry, GGA-PBE.

Cell lengths 9.6762, 9.6762, 3.4833 Å; angles 90.00, 90.00, 90.00 degrees
Sites, in units of the cell vectors:
Tm: 0.1770 0.3230 0.0000
Tm: 0.3230 0.8230 0.0000
Tm: 0.6770 0.1770 0.0000
Tm: 0.8230 0.6770 0.0000
Be: 0.1177 0.6177 0.0000
Be: 0.3823 0.1177 0.0000
Be: 0.6177 0.8823 0.0000
Be: 0.8823 0.3823 0.0000
In: 0.0000 0.0000 0.0000
In: 0.5000 0.5000 0.0000
Pd: 0.0000 0.5000 0.5000
Pd: 0.0699 0.7805 0.5000
Pd: 0.2195 0.0699 0.5000
Pd: 0.2805 0.5699 0.5000
Pd: 0.4301 0.2805 0.5000
Pd: 0.5000 0.0000 0.5000
Pd: 0.5699 0.7195 0.5000
Pd: 0.7195 0.4301 0.5000
Pd: 0.7805 0.9301 0.5000
Pd: 0.9301 0.2195 0.5000

Properties
As for the formation energy: -752 kJ/mol of formula units.

=====

YBe2InPd: optimized geometry, GGA-PBE.

Cell lengths 4.8967, 4.8967, 5.7768 Å; angles 90.00, 90.00, 90.00 degrees
Sites, in units of the cell vectors:
Y: 0.0000 0.0000 0.0000
Be: 0.0000 0.5000 0.0000
Be: 0.5000 0.0000 0.0000
In: 0.0000 0.0000 0.5000
Pd: 0.5000 0.5000 0.5000

Properties
As for the formation energy: 800 kJ/mol of formula units.

=====

Y2Be2InPd5: optimized geometry, GGA-PBE.

Cell lengths 9.7566, 9.7566, 3.5010 Å; angles 90.00, 90.00, 90.00 degrees
Sites, in units of the cell vectors:
Y: 0.1777 0.3223 0.0000
Y: 0.3223 0.8223 0.0000
Y: 0.6777 0.1777 0.0000
Y: 0.8223 0.6777 0.0000
Be: 0.1169 0.6169 0.0000
Be: 0.3831 0.1169 0.0000
Be: 0.6169 0.8831 0.0000
Be: 0.8831 0.3831 0.0000
In: 0.0000 0.0000 0.0000
In: 0.5000 0.5000 0.0000
Pd: 0.0000 0.5000 0.5000
Pd: 0.0690 0.7794 0.5000
Pd: 0.2206 0.0690 0.5000
Pd: 0.2794 0.5690 0.5000
Pd: 0.4310 0.2794 0.5000
Pd: 0.5000 0.0000 0.5000
Pd: 0.5690 0.7206 0.5000
Pd: 0.7206 0.4310 0.5000
Pd: 0.7794 0.9310 0.5000
Pd: 0.9310 0.2206 0.5000

Properties
As for the formation energy: -726 kJ/mol of formula units.

=====

Y2BeInPd6: optimized geometry, GGA-PBE.

Cell lengths 5.8349, 5.8354, 7.7854 Å; angles 68.17, 68.28, 60.07 degrees
Sites, in units of the cell vectors:
Y: 0.2240 0.2247 0.3267
Y: 0.7760 0.7753 0.6733
Be: 0.5000 0.5000 0.5000
In: 0.0000 0.0000 0.0000
Pd: 0.2172 0.7352 0.3122
Pd: 0.2659 0.2649 0.6888
Pd: 0.2657 0.7816 0.6883
Pd: 0.7343 0.2184 0.3117
Pd: 0.7341 0.7351 0.3112
Pd: 0.7828 0.2648 0.6878

Properties
As for the formation energy: -589 kJ/mol of formula units.

=====

| no. | M_tot (μB/f.u.) | calculated volume (Å³/cell) |
| --- | --- | --- |
| 1 | 0.00 | 351.5 |
| 2 | 0.00 | 267.4 |
| 3 | 0.00 | 93.0 |
| 4 | 0.00 | 110.4 |
| 5 | 0.00 | 145.9 |
| 6 | 0.00 | 209.5 |
| 7 | 0.00 | 333.7 |
| 8 | 0.00 | 143.7 |
| 9 | 0.00 | 326.1 |
| 10 | 0.00 | 138.5 |
| 11 | 0.00 | 333.3 |
| 12 | 0.00 | 207.6 |